Density functional theory data (PBE) for LiTmMg after structural relaxation.

```
LiTmMg
1.0
3.5077 0.0000 0.0000
0.0000 3.5077 0.0000
0.0000 0.0000 11.7514
Li Tm Mg
2 2 2
direct
0.0000 0.0000 0.0000 Li
0.5000 0.5000 0.5000 Li
0.0000 0.0000 0.3174 Tm
0.5000 0.5000 0.8174 Tm
0.0000 0.0000 0.6286 Mg
0.5000 0.5000 0.1286 Mg
```

## Properties
Space group: I4mm, No. 107
Energy relative to the lowest polymorph listed for this composition in eV per formula unit: 0.241
Formation energy in eV/atom: 0.05

Density functional theory data (PBE) for TbHo3Er2Te6 after structural relaxation.

```
TbHo3Er2Te6
1.0
9.4503 -2.1577 0.0000
9.4503 2.1577 0.0000
-2.0191 0.0000 8.4727
Tb Ho Er Te
1 3 2 6
direct
0.0000 0.0000 0.0000 Tb
0.0000 0.0000 0.5000 Ho
0.3357 0.3357 0.1674 Ho
0.6643 0.6643 0.8326 Ho
0.3350 0.3350 0.6698 Er
0.6650 0.6650 0.3302 Er
0.1678 0.1678 0.5819 Te
0.1686 0.1686 0.0845 Te
0.4992 0.4992 0.7472 Te
0.5008 0.5008 0.2528 Te
0.8314 0.8314 0.9155 Te
0.8322 0.8322 0.4181 Te
```

## Properties
Space group: C2/m, No. 12
Energy in eV per formula unit: -61.27

Density functional theory data (PBE) for Ho2RuPbO8 after structural relaxation.

```
Ho2RuPbO8
1.0
3.4917 -3.5639 0.0000
3.4917 3.5639 0.0000
0.0000 0.0000 6.7892
Ho Ru Pb O
2 1 1 8
direct
0.0000 0.0000 0.2493 Ho
0.0000 0.0000 0.7507 Ho
0.5000 0.5000 0.0000 Ru
0.5000 0.5000 0.5000 Pb
0.1916 0.1916 0.5000 O
0.2316 0.2316 0.0000 O
0.3164 0.6836 0.2161 O
0.3164 0.6836 0.7839 O
0.6836 0.3164 0.2161 O
0.6836 0.3164 0.7839 O
0.7684 0.7684 0.0000 O
0.8084 0.8084 0.5000 O
```

## Properties
Space group: Cmmm, No. 65
Energy in eV per formula unit: -84.89

Density functional theory data (PBE) for LiPa3Nb4N8 after structural relaxation.

```
LiPa3Nb4N8
1.0
3.2619 1.8833 5.3525
-3.2619 1.8833 5.3525
0.0000 -3.7665 5.3525
Li Pa Nb N
1 3 4 8
direct
0.0000 0.0000 0.0000 Li
0.0000 0.5000 0.5000 Pa
0.5000 0.0000 0.5000 Pa
0.5000 0.5000 0.0000 Pa
0.0000 0.0000 0.5000 Nb
0.0000 0.5000 0.0000 Nb
0.5000 0.0000 0.0000 Nb
0.5000 0.5000 0.5000 Nb
0.2375 0.7499 0.7499 N
0.2412 0.2412 0.2412 N
0.2501 0.2501 0.7625 N
0.2501 0.7625 0.2501 N
0.7499 0.2375 0.7499 N
0.7499 0.7499 0.2375 N
0.7588 0.7588 0.7588 N
0.7625 0.2501 0.2501 N
```

## Properties
Space group: R-3m, No. 166
Energy in eV per formula unit: -157.78

Density functional theory data (PBE) for ZnHg3Pd after structural relaxation.

```
ZnHg3Pd
1.0
5.0493 0.0000 0.0000
0.0000 5.0493 0.0000
0.0000 0.0000 5.0493
Zn Hg Pd
1 3 1
direct
0.0000 0.0000 0.0000 Zn
0.0000 0.0000 0.5000 Hg
0.0000 0.5000 0.0000 Hg
0.5000 0.0000 0.0000 Hg
0.5000 0.5000 0.5000 Pd
```

## Properties
Space group: Pm-3m, No. 221
Energy relative to the lowest polymorph listed for this composition in eV per formula unit: 1.678
Formation energy in eV/atom: 0.48

Density functional theory data (PBE) for TlPd12Pb3 after structural relaxation.

```
TlPd12Pb3
1.0
4.0972 0.0000 0.0000
0.0000 4.0972 0.0000
0.0000 0.0000 16.4706
Tl Pd Pb
1 12 3
direct
0.0000 0.0000 0.0000 Tl
0.0000 0.5000 0.1246 Pd
0.0000 0.5000 0.3747 Pd
0.0000 0.5000 0.6253 Pd
0.0000 0.5000 0.8754 Pd
0.5000 0.0000 0.1246 Pd
0.5000 0.0000 0.3747 Pd
0.5000 0.0000 0.6253 Pd
0.5000 0.0000 0.8754 Pd
0.5000 0.5000 0.0000 Pd
0.5000 0.5000 0.2507 Pd
0.5000 0.5000 0.5000 Pd
0.5000 0.5000 0.7493 Pd
0.0000 0.0000 0.2480 Pb
0.0000 0.0000 0.5000 Pb
0.0000 0.0000 0.7520 Pb
```

## Properties
Space group: P4/mmm, No. 123
Formation energy in eV/atom: -0.26

Density functional theory data (PBE) for Dy6AlBi2 after structural relaxation.

```
Dy6AlBi2
1.0
6.9380 0.0000 0.0000
0.0000 6.9380 0.0000
0.0000 0.0000 13.7673
Dy Al Bi
12 2 4
direct
0.1915 0.1915 0.1575 Dy
0.1915 0.1915 0.8425 Dy
0.2116 0.2116 0.5000 Dy
0.2884 0.7116 0.0000 Dy
0.3085 0.6915 0.3425 Dy
0.3085 0.6915 0.6575 Dy
0.6915 0.3085 0.3425 Dy
0.6915 0.3085 0.6575 Dy
0.7116 0.2884 0.0000 Dy
0.7884 0.7884 0.5000 Dy
0.8085 0.8085 0.1575 Dy
0.8085 0.8085 0.8425 Dy
0.0000 0.0000 0.0000 Al
0.5000 0.5000 0.5000 Al
0.0000 0.0000 0.3345 Bi
0.0000 0.0000 0.6655 Bi
0.5000 0.5000 0.1655 Bi
0.5000 0.5000 0.8345 Bi
```

## Properties
Space group: P4_2/mnm, No. 136
Formation energy in eV/atom: 0.00

Density functional theory data (PBE) for AsPtSBr2 after structural relaxation.

```
AsPtSBr2
1.0
4.7684 0.0000 0.0000
0.0000 4.7684 0.0000
0.0000 0.0000 5.3073
As Pt S Br
1 1 1 2
direct
0.0000 0.0000 0.0000 As
0.5000 0.5000 0.0000 Pt
0.0000 0.0000 0.5000 S
0.0000 0.5000 0.5000 Br
0.5000 0.0000 0.5000 Br
```

## Properties
Space group: P4/mmm, No. 123
Energy relative to the lowest polymorph listed for this composition in eV per formula unit: 2.227

Density functional theory data (PBE) for RuCl3 after structural relaxation.

```
RuCl3
1.0
2.9215 0.0000 0.0000
0.0000 5.9029 0.0000
0.0000 0.0000 10.4929
Ru Cl
2 6
direct
0.0000 0.0000 0.0000 Ru
0.5000 0.5000 0.0000 Ru
0.0000 0.0000 0.5000 Cl
0.0000 0.5000 0.1749 Cl
0.0000 0.5000 0.8251 Cl
0.5000 0.0000 0.1749 Cl
0.5000 0.0000 0.8251 Cl
0.5000 0.5000 0.5000 Cl
```

## Properties
Space group: Cmmm, No. 65
Energy in eV per formula unit: -14.11

Density functional theory data (PBE) for InSiNi2 after structural relaxation.

```
InSiNi2
1.0
2.9709 0.0000 0.0000
-1.4854 2.5729 0.0000
0.0000 0.0000 23.6995
In Si Ni
3 3 6
direct
0.0000 0.0000 0.0000 In
0.3333 0.6667 0.6667 In
0.6667 0.3333 0.3333 In
0.0000 0.0000 0.2277 Si
0.3333 0.6667 0.8944 Si
0.6667 0.3333 0.5611 Si
0.0000 0.0000 0.4976 Ni
0.0000 0.0000 0.7526 Ni
0.3333 0.6667 0.1643 Ni
0.3333 0.6667 0.4193 Ni
0.6667 0.3333 0.0860 Ni
0.6667 0.3333 0.8310 Ni
```

## Properties
Space group: R3m, No. 160
Energy in eV per formula unit: -19.05

Density functional theory data (PBE) for Tl2FeSb after structural relaxation.

```
Tl2FeSb
1.0
7.2079 0.0000 0.0000
0.0000 7.2079 0.0000
0.0000 0.0000 7.2079
Tl Fe Sb
8 4 4
direct
0.2500 0.2500 0.2500 Tl
0.2500 0.2500 0.7500 Tl
0.2500 0.7500 0.2500 Tl
0.2500 0.7500 0.7500 Tl
0.7500 0.2500 0.2500 Tl
0.7500 0.2500 0.7500 Tl
0.7500 0.7500 0.2500 Tl
0.7500 0.7500 0.7500 Tl
0.0000 0.0000 0.0000 Fe
0.0000 0.5000 0.5000 Fe
0.5000 0.0000 0.5000 Fe
0.5000 0.5000 0.0000 Fe
0.0000 0.0000 0.5000 Sb
0.0000 0.5000 0.0000 Sb
0.5000 0.0000 0.0000 Sb
0.5000 0.5000 0.5000 Sb
```

## Properties
Space group: Fm-3m, No. 225
Energy relative to the lowest polymorph listed for this composition in eV per formula unit: 2.642

Density functional theory data (PBE) for Np2Co3H12Pd after structural relaxation.

```
Np2Co3H12Pd
1.0
2.8696 1.6568 4.8365
-2.8696 1.6568 4.8365
0.0000 -3.3135 4.8365
Np Co H Pd
2 3 12 1
direct
0.1109 0.1109 0.1109 Np
0.8891 0.8891 0.8891 Np
0.0000 0.5000 0.5000 Co
0.5000 0.0000 0.5000 Co
0.5000 0.5000 0.0000 Co
0.1096 0.6112 0.6112 H
0.1724 0.1724 0.6332 H
0.1724 0.6332 0.1724 H
0.3668 0.8276 0.8276 H
0.3888 0.3888 0.8904 H
0.3888 0.8904 0.3888 H
0.6112 0.1096 0.6112 H
0.6112 0.6112 0.1096 H
0.6332 0.1724 0.1724 H
0.8276 0.3668 0.8276 H
0.8276 0.8276 0.3668 H
0.8904 0.3888 0.3888 H
0.5000 0.5000 0.5000 Pd
```

## Properties
Space group: R-3m, No. 166
Energy in eV per formula unit: -93.54